1.
The following is a PBEsol calculation of an optimized crystal structure of ReNiS3, from the Alexandria database.

POSCAR file:
```
ReNiS3
1.0
4.231 0.000 0.000
0.000 4.231 0.000
0.000 0.000 4.231
Re Ni S
1 1 3
Direct
0.000 0.000 0.000
0.500 0.500 0.500
0.000 0.500 0.500
0.500 0.000 0.500
0.500 0.500 0.000
```

Calculated values
The crystal system is cubic. For the total moment, the calculation gives 0.382 μB/cell. The calculation puts the uncorrected formation energy at 0.9998 eV per atom. The calculation puts the calculated volume at 75.7 Å³/f.u. The calculation puts the total energy at -5.529 eV per atom. The value obtained for the density of states at the Fermi level is 1.01 states/eV/atom.

=====

2.
The following is a PBEsol calculation of an optimized crystal structure of Re3NiSb, from the Alexandria database.

POSCAR file:
```
Re3NiSb
1.0
4.736 0.000 0.000
0.000 4.736 0.000
0.000 0.000 4.736
Re Ni Sb
3 1 1
Direct
0.000 0.000 0.500
0.000 0.500 0.000
0.500 0.000 0.000
0.500 0.500 0.500
0.000 0.000 0.000
```

Calculated values
The crystal system is cubic. For the total moment, the calculation gives 0.379 μB/cell. The calculation puts the uncorrected formation energy at 3.1032 eV per atom. The calculation puts the calculated volume at 106.2 Å³/f.u. The calculation puts the total energy at -7.039 eV per atom. The value obtained for the density of states at the Fermi level is 1.71 states/eV/atom.

=====

3.
The following is a PBEsol calculation of an optimized crystal structure of Re2NiSb, from the Alexandria database.

POSCAR file:
```
Re2NiSb
1.0
3.019 0.000 0.000
0.000 3.019 0.000
0.000 0.000 6.648
Re Ni Sb
2 1 1
Direct
0.000 0.000 0.000
0.500 0.500 0.227
0.500 0.500 0.761
0.000 0.000 0.529
```

Calculated values
The crystal system is tetragonal. For the total moment, the calculation gives 0.001 μB/cell. The calculation puts the uncorrected formation energy at 0.2865 eV per atom. The calculation puts the calculated volume at 60.6 Å³/f.u. The calculation puts the total energy at -9.058 eV per atom. The value obtained for the density of states at the Fermi level is 1.19 states/eV/atom.